Record 1
Material: Si2TcMo
Method: DFT, PBE
State: optimized geometry

```
Si2TcMo
1.0
8.206 0.007 0.004
7.697 2.846 0.004
7.697 1.381 2.488
Mo Si Tc
1 2 1
Direct
0.749 0.749 0.749
0.998 0.998 0.998
0.250 0.250 0.250
0.504 0.504 0.504
```

Output
V (Å³/atom): 14.47
Formation energy without anion corrections (kJ/mol of formula units): -23

=====

Record 2
Material: PaSbS2
Method: DFT, PBE
State: optimized geometry

```
PaSbS2
1.0
-2.887 -0.713 2.019
0.142 -2.592 2.486
1.836 4.829 7.530
Sb S Pa
1 2 1
Direct
0.500 0.500 0.500
0.098 0.098 0.706
0.902 0.902 0.294
0.000 0.000 0.000
```

Output
V (Å³/atom): 24.88
Formation energy without anion corrections (kJ/mol of formula units): -29

=====

> formation energy without anion corrections of number 2 (PaSbS2)?

-29 kJ/mol of formula units